14
Lattice="13.887 0.000 0.000 0.000 4.387 0.000 -3.734 0.000 6.264" Properties=species:S:1:pos:R:3 comment="Pm4Ir3 PBE optimized geometry" n_ef_per_ev_fu=3.85 formation_energy_kcal_per_mol_atoms=-13.585 total_energy_ev_per_atom=-7.1013 pbc="T T T"
Pm 0.533 0.000 1.873
Pm -1.050 2.194 4.978
Pm 4.260 0.000 1.286
Pm 2.677 2.194 4.392
Pm 7.477 2.194 1.873
Pm 5.894 0.000 4.978
Pm 11.203 2.194 1.286
Pm 9.621 0.000 4.392
Ir 0.000 2.194 0.000
Ir 2.395 2.194 1.508
Ir 0.814 0.000 4.756
Ir 6.944 0.000 0.000
Ir 9.339 0.000 1.508
Ir 7.758 2.194 4.756



12
Lattice="4.657 -2.677 0.000 4.657 2.677 0.000 -3.043 0.000 8.838" Properties=species:S:1:pos:R:3 comment="PmIr3 PBE optimized geometry" n_ef_per_ev_fu=3.95 formation_energy_kcal_per_mol_atoms=-12.315 total_energy_ev_per_atom=-8.3674 pbc="T T T"
Pm 0.000 0.000 0.000
Pm 0.022 0.000 3.699
Pm 6.250 0.000 5.140
Ir 2.342 1.329 2.165
Ir 0.017 0.000 8.809
Ir 3.929 1.329 6.674
Ir 1.623 0.000 6.721
Ir 3.136 0.000 4.419
Ir 4.648 0.000 2.117
Ir 2.342 -1.329 2.165
Ir 6.254 0.000 0.030
Ir 3.929 -1.329 6.674



Which formula does entry 1 have? Pm4Ir3